## SrMnO3 (PBE with a Hubbard U)

Data for an optimized crystal structure of SrMnO3.

Output
E   -6.3028 eV per atom
Density of states at the Fermi level   1.3 states/eV/cell
Calculated density   4.97 g/cm³
Volume   127.3 Å³/cell

a b c (Å): 4.1044 4.1044 8.7249
angles (deg): 90.00 90.00 120.00
With the nearest neighbours (Å) after each atom.
Positions (direct):
Sr 0.3333 0.6667 0.2500  5 O 2.37-2.50
Sr 0.6667 0.3333 0.7500  5 O 2.37-2.50
Mn 0.0000 0.0000 0.0000  8 O 2.18-2.39
Mn 0.0000 0.0000 0.5000  8 O 2.18-2.39
O 0.0000 0.0000 0.2500  2 Mn 2.18, 3 Sr 2.37
O 0.0000 0.0000 0.7500  2 Mn 2.18, 3 Sr 2.37
O 0.3333 0.6667 0.5365  3 Mn 2.39, 3 O 2.45, 1 Sr 2.50
O 0.3333 0.6667 0.9635  3 Mn 2.39, 3 O 2.45, 1 Sr 2.50
O 0.6667 0.3333 0.0365  3 Mn 2.39, 3 O 2.45, 1 Sr 2.50
O 0.6667 0.3333 0.4635  3 Mn 2.39, 3 O 2.45, 1 Sr 2.50